11
Lattice="9.0286 -1.7935 0.0000 9.0286 1.7935 0.0000 -0.7917 0.0000 11.8040" Properties=species:S:1:pos:R:3 comment="La5Tb4Pm2 | the Alexandria database | PBE-GGA | relaxed" relative_energy_ev_per_atom=0.000 dft_energy_ev_per_atom=-4.716 formation_energy_ev_per_atom=0.071 pbc="T T T"
La 0.0000 0.0000 0.0000
La 5.1124 0.0000 10.9420
La 6.9372 0.0000 5.4981
La 10.3283 0.0000 6.3059
La 12.1531 0.0000 0.8620
Tb 1.8992 0.0000 9.4344
Tb 7.8379 0.0000 8.7213
Tb 9.4276 0.0000 3.0827
Tb 15.3663 0.0000 2.3696
Pm 3.6319 0.0000 4.1523
Pm 13.6336 0.0000 7.6517

16
Lattice="0.0000 6.8621 14.6384 3.7862 0.0000 14.6384 3.7862 6.8621 0.0000" Properties=species:S:1:pos:R:3 comment="Cs2RbWS4 | the Alexandria database | PBE-GGA | relaxed" dft_energy_ev_per_atom=-4.851 raw_formation_energy_ev_per_atom=-0.834 pbc="T T T"
Cs 2.8396 5.1466 2.0216
Cs 4.7327 8.5776 9.3408
Cs 2.8396 5.1466 19.9360
Cs 4.7327 8.5776 27.2552
Rb 0.9465 1.7155 3.6596
Rb 6.6258 12.0087 25.6173
W 2.8396 5.1466 10.9788
W 4.7327 8.5776 18.2980
S 4.0774 3.7828 9.6752
S 4.0774 6.5103 12.2824
S 5.9705 7.2139 19.6016
S 1.6019 3.7828 12.2824
S 5.9705 9.9414 16.9945
S 1.6019 6.5103 9.6752
S 3.4950 7.2139 16.9945
S 3.4950 9.9414 19.6016

14
Lattice="7.3383 0.0000 0.0000 0.0000 7.2358 0.0000 -2.7661 0.0000 8.3751" Properties=species:S:1:pos:R:3 comment="KMnTlCl4 | the Alexandria database | PBE-GGA | relaxed" dft_energy_ev_per_atom=-4.196 raw_formation_energy_ev_per_atom=-1.336 pbc="T T T"
K 1.4376 1.8090 0.4640
K 3.1346 5.4269 7.9112
Mn -0.5046 5.4269 6.7160
Mn 5.0768 1.8090 1.6591
Tl 0.4079 1.8090 4.7708
Tl 4.1643 5.4269 3.6043
Cl -1.9551 3.6265 6.2634
Cl -1.9551 7.2273 6.2634
Cl 2.8706 5.4269 0.6067
Cl 1.3677 5.4269 5.3105
Cl 3.2046 1.8090 3.0646
Cl 1.7016 1.8090 7.7684
Cl 6.5273 0.0086 2.1118
Cl 6.5273 3.6093 2.1118

6
Lattice="4.3180 0.0000 0.0000 -2.1590 3.7395 0.0000 0.0000 0.0000 7.8286" Properties=species:S:1:pos:R:3 comment="CaPuAs2Pd2 | the Alexandria database | PBE-GGA | relaxed" dft_energy_ev_per_atom=-6.919 formation_energy_ev_per_atom=-0.916 pbc="T T T"
Ca 0.0000 0.0000 0.0000
Pu 0.0000 0.0000 3.9143
As 0.0000 2.4930 5.7045
As 2.1590 1.2465 2.1241
Pd 0.0000 2.4930 1.9133
Pd 2.1590 1.2465 5.9153

16
Lattice="11.3036 0.0000 0.0000 0.0000 7.1551 0.0000 0.0000 0.0000 6.2405" Properties=species:S:1:pos:R:3 comment="Tb3Sm4Tl | the Alexandria database | PBE-GGA | relaxed" relative_energy_ev_per_atom=0.000 dft_energy_ev_per_atom=-4.455 formation_energy_ev_per_atom=-0.063 pbc="T T T"
Tb 0.0000 0.9265 0.0000
Tb 2.7602 0.8314 2.0507
Tb 2.8916 6.3237 5.1709
Tb 5.6518 6.2286 3.1202
Tb 8.4120 6.3237 5.1709
Tb 8.5433 0.8314 2.0507
Sm 0.0000 2.6559 3.2923
Sm 0.0000 4.5185 6.1204
Sm 2.6177 4.5181 2.1586
Sm 3.0341 2.6370 5.2788
Sm 5.6518 2.6366 3.0002
Sm 5.6518 4.4992 0.1720
Sm 8.2695 2.6370 5.2788
Sm 8.6859 4.5181 2.1586
Tl 0.0000 6.3554 3.1675
Tl 5.6518 0.7997 0.0473

4
Lattice="0.0000 3.3345 3.3345 3.3345 0.0000 3.3345 3.3345 3.3345 0.0000" Properties=species:S:1:pos:R:3 comment="LiCrSe2 | the Alexandria database | PBE-GGA | relaxed" dft_energy_ev_per_atom=-4.477 raw_formation_energy_ev_per_atom=0.149 pbc="T T T"
Li 0.0000 0.0000 0.0000
Cr 5.0018 5.0018 5.0018
Se 1.6673 1.6673 1.6673
Se 3.3345 3.3345 3.3345

6
Lattice="6.4555 -1.9818 0.0000 6.4555 1.9818 0.0000 -0.4005 0.0000 3.9068" Properties=species:S:1:pos:R:3 comment="AcBN | the Alexandria database | PBE-GGA | relaxed" relative_energy_ev_per_atom=0.000 dft_energy_ev_per_atom=-7.295 raw_formation_energy_ev_per_atom=-0.925 pbc="T T T"
Ac 1.7103 0.0000 0.8101
Ac 10.8001 0.0000 3.0967
B 5.6944 0.0000 1.3838
B 6.8160 0.0000 2.5230
N 4.2949 0.0000 1.0996
N 8.2155 0.0000 2.8072

9
Lattice="-4.8021 4.8021 2.2099 4.8021 -4.8021 2.2099 4.8021 4.8021 -2.2099" Properties=species:S:1:pos:R:3 comment="Sc8Be | the Alexandria database | PBE-GGA | relaxed" dft_energy_ev_per_atom=-5.918 formation_energy_ev_per_atom=0.124 pbc="T T T"
Sc 3.1708 0.0000 0.0000
Sc 6.4334 0.0000 0.0000
Sc 0.0000 3.1708 0.0000
Sc 3.2860 3.2860 0.0000
Sc 1.5161 -1.5161 2.2099
Sc -1.5161 1.5161 2.2099
Sc 1.5161 1.5161 2.2099
Sc 0.0000 6.4334 0.0000
Be 0.0000 0.0000 0.0000